TmCoO3 after structural relaxation, computed with PBE+U.

The space group is Pnma (No. 62) and the conventional cell measures 5.549, 7.293 and 5.118 Å, with angles of 90.00, 90.00 and 90.00 degrees. The distinct sites, in fractional coordinates, are Tm at (0.085, 0.250, 0.026), Co at (0.000, 0.000, 0.500), O at (0.030, 0.750, 0.386) and O at (0.188, 0.555, 0.807).

As for the calculated total energy: -7.169 eV/atom.